First-principles (GGA-PBE) data for an optimized crystal structure of V2GaFe, as listed in Alexandria.

Values from the calculation:
Crystal system: orthorhombic
Formation enthalpy at 0 K: -0.085 eV per atom
DOS(E_F): 4.0 states/eV/f.u.
E_tot: -7.52 eV per atom

Unit cell a=2.5985 b=2.5985 c=8.0524 alpha=90.00 beta=90.00 gamma=104.71
Closest atoms and distances in Å follow each position.
Atoms (fractional coordinates):
Ga  0.5000  0.5000  0.2395  2 Fe 2.51, 4 Ga 2.60, 2 V 2.65
V  0.0000  0.0000  0.5037  6 V 2.59-2.60, 2 Ga 2.65
V  0.5000  0.5000  0.7586  2 Fe 2.50, 6 V 2.59-2.60
Fe  0.0000  0.0000  0.9983  2 V 2.50, 2 Ga 2.51, 4 Fe 2.60

First-principles (GGA-PBE) data for an optimized crystal structure of VGa2Fe2, as listed in Alexandria.

Values from the calculation:
Crystal system: tetragonal
Energy above the most stable polymorph in this dataset: 0 meV/atom
Formation enthalpy at 0 K: 0.023 eV per atom
DOS(E_F): 4.7 states/eV/f.u.
E_tot: -6.40 eV per atom

Unit cell a=7.0405 b=7.0405 c=2.6575 alpha=90.00 beta=90.00 gamma=90.00
Closest atoms and distances in Å follow each position.
Atoms (fractional coordinates):
V  0.0000  0.0000  0.0000  2 V 2.66, 4 Ga 2.70
V  0.5000  0.5000  0.0000  2 V 2.66, 4 Ga 2.70
Fe  0.1532  0.6532  0.5000  6 Ga 2.41-2.48, 2 Fe 2.66
Fe  0.3468  0.1532  0.5000  6 Ga 2.41-2.48, 2 Fe 2.66
Fe  0.8468  0.3468  0.5000  6 Ga 2.41-2.48, 2 Fe 2.66
Fe  0.6532  0.8468  0.5000  6 Ga 2.41-2.48, 2 Fe 2.66
Ga  0.6444  0.1444  0.0000  6 Fe 2.41-2.48, 2 Ga 2.66, 2 V 2.70
Ga  0.3556  0.8556  0.0000  6 Fe 2.41-2.48, 2 Ga 2.66, 2 V 2.70
Ga  0.8556  0.6444  0.0000  6 Fe 2.41-2.48, 2 Ga 2.66, 2 V 2.70
Ga  0.1444  0.3556  0.0000  6 Fe 2.41-2.48, 2 Ga 2.66, 2 V 2.70

First-principles (GGA-PBE) data for an optimized crystal structure of V2Ga2Fe, as listed in Alexandria.

Values from the calculation:
Crystal system: tetragonal
Energy above the most stable polymorph in this dataset: 220 meV/atom
Formation enthalpy at 0 K: 0.202 eV per atom
DOS(E_F): 5.2 states/eV/f.u.
E_tot: -6.35 eV per atom

Unit cell a=5.9321 b=5.9321 c=4.1617 alpha=90.00 beta=90.00 gamma=90.00
Closest atoms and distances in Å follow each position.
Atoms (fractional coordinates):
Ga  0.8363  0.3363  0.5000  6 V 2.61-2.78, 1 Ga 2.75
Ga  0.6637  0.8363  0.5000  6 V 2.61-2.78, 1 Ga 2.75
Ga  0.3363  0.1637  0.5000  6 V 2.61-2.78, 1 Ga 2.75
Ga  0.1637  0.6637  0.5000  6 V 2.61-2.78, 1 Ga 2.75
V  0.1476  0.3524  0.0000  2 Fe 2.27, 1 V 2.48
V  0.3524  0.8524  0.0000  2 Fe 2.27, 1 V 2.48
V  0.8524  0.6476  0.0000  2 Fe 2.27, 1 V 2.48
V  0.6476  0.1476  0.0000  2 Fe 2.27, 1 V 2.48
Fe  0.0000  0.0000  0.0000  4 V 2.27
Fe  0.5000  0.5000  0.0000  4 V 2.27

First-principles (GGA-PBE) data for an optimized crystal structure of VGaFe5, as listed in Alexandria.

Values from the calculation:
Crystal system: monoclinic
Formation enthalpy at 0 K: 0.033 eV per atom
DOS(E_F): 6.4 states/eV/f.u.
E_tot: -7.75 eV per atom

Unit cell a=4.5783 b=4.5783 c=9.0082 alpha=104.08 beta=104.08 gamma=99.79
Closest atoms and distances in Å follow each position.
Atoms (fractional coordinates):
Fe  0.8748  0.1252  0.7500  6 Fe 2.34-2.58, 1 V 2.37, 2 Ga 2.42
Fe  0.4059  0.0028  0.8494  6 Fe 2.40-2.65, 2 V 2.52-2.63, 1 Ga 2.55
Fe  0.2311  0.5448  0.9523  5 Fe 2.34-2.58, 1 Ga 2.49, 1 V 2.55
Fe  0.7689  0.4552  0.0477  5 Fe 2.34-2.58, 1 Ga 2.49, 1 V 2.55
Fe  0.1252  0.8748  0.2500  6 Fe 2.34-2.58, 1 V 2.37, 2 Ga 2.42
Fe  0.0028  0.4059  0.3494  6 Fe 2.40-2.65, 2 V 2.52-2.63, 1 Ga 2.55
Fe  0.4552  0.7689  0.5477  5 Fe 2.34-2.58, 1 Ga 2.49, 1 V 2.55
Fe  0.5448  0.2311  0.4523  5 Fe 2.34-2.58, 1 Ga 2.49, 1 V 2.55
Fe  0.5941  0.9972  0.1506  6 Fe 2.40-2.65, 2 V 2.52-2.63, 1 Ga 2.55
Fe  0.9972  0.5941  0.6506  6 Fe 2.40-2.65, 2 V 2.52-2.63, 1 Ga 2.55
Ga  0.0000  0.0000  0.5000  6 Fe 2.42-2.55
Ga  0.0000  0.0000  0.0000  6 Fe 2.42-2.55
V  0.4640  0.5360  0.2500  9 Fe 2.37-2.65
V  0.5360  0.4640  0.7500  9 Fe 2.37-2.65

First-principles (GGA-PBE) data for an optimized crystal structure of V8Ga5Fe, as listed in Alexandria.

Values from the calculation:
Crystal system: tetragonal
Formation enthalpy at 0 K: 0.022 eV per atom
DOS(E_F): 13.5 states/eV/f.u.
E_tot: -6.87 eV per atom

Unit cell a=6.3971 b=6.3971 c=6.3971 alpha=109.87 beta=108.67 gamma=109.87
Closest atoms and distances in Å follow each position.
Atoms (fractional coordinates):
V  0.4781  0.6008  0.2167  5 Ga 2.50-2.72, 1 Fe 2.59, 2 V 2.63-2.69
V  0.1227  0.7385  0.5219  5 Ga 2.50-2.72, 1 Fe 2.59, 2 V 2.63-2.69
V  0.6159  0.3992  0.8773  5 Ga 2.50-2.72, 1 Fe 2.59, 2 V 2.63-2.69
V  0.7833  0.2615  0.3841  5 Ga 2.50-2.72, 1 Fe 2.59, 2 V 2.63-2.69
V  0.9875  0.1259  0.7035  1 Fe 2.26, 1 Ga 2.52
V  0.1384  0.7159  0.0125  1 Fe 2.26, 1 Ga 2.52
V  0.2965  0.2841  0.4225  1 Fe 2.26, 1 Ga 2.52
V  0.5775  0.8741  0.8616  1 Fe 2.26, 1 Ga 2.52
Ga  0.9875  0.3477  0.1135  8 V 2.52-2.72
Ga  0.3602  0.1261  0.0125  8 V 2.52-2.72
Ga  0.7658  0.6523  0.6398  8 V 2.52-2.72
Ga  0.8865  0.8739  0.2342  8 V 2.52-2.72
Ga  0.5000  0.0000  0.5000  8 V 2.50-2.66
Fe  0.2500  0.5000  0.7500  4 V 2.26

First-principles (GGA-PBE) data for an optimized crystal structure of VGa2Fe2, as listed in Alexandria.

Values from the calculation:
Crystal system: tetragonal
Energy above the most stable polymorph in this dataset: 49 meV/atom
Formation enthalpy at 0 K: 0.072 eV per atom
DOS(E_F): 5.1 states/eV/f.u.
E_tot: -6.35 eV per atom

Unit cell a=6.5866 b=6.5866 c=2.9604 alpha=90.00 beta=90.00 gamma=90.00
Closest atoms and distances in Å follow each position.
Atoms (fractional coordinates):
Ga  0.1611  0.6611  0.5000  6 Fe 2.39-2.47
Ga  0.8389  0.3389  0.5000  6 Fe 2.39-2.47
Ga  0.3389  0.1611  0.5000  6 Fe 2.39-2.47
Ga  0.6611  0.8389  0.5000  6 Fe 2.39-2.47
Fe  0.8621  0.6379  0.0000  6 Ga 2.39-2.47, 2 V 2.55, 1 Fe 2.57
Fe  0.6379  0.1379  0.0000  6 Ga 2.39-2.47, 2 V 2.55, 1 Fe 2.57
Fe  0.3621  0.8621  0.0000  6 Ga 2.39-2.47, 2 V 2.55, 1 Fe 2.57
Fe  0.1379  0.3621  0.0000  6 Ga 2.39-2.47, 2 V 2.55, 1 Fe 2.57
V  0.5000  0.5000  0.0000  4 Fe 2.55
V  0.0000  0.0000  0.0000  4 Fe 2.55

First-principles (GGA-PBE) data for an optimized crystal structure of VGa2Fe, as listed in Alexandria.

Values from the calculation:
Crystal system: tetragonal
Formation enthalpy at 0 K: 0.278 eV per atom
DOS(E_F): 3.4 states/eV/f.u.
E_tot: -5.63 eV per atom

Unit cell a=3.6529 b=3.6529 c=9.4551 alpha=78.86 beta=78.86 gamma=90.00
Closest atoms and distances in Å follow each position.
Atoms (fractional coordinates):
Fe  0.7500  0.2500  0.5000  4 V 2.58, 4 Ga 2.61
Fe  0.0000  0.0000  0.0000  4 V 2.58, 4 Ga 2.61
Ga  0.8750  0.8784  0.7500  4 Ga 2.57-2.60, 2 Fe 2.61, 2 V 2.62
Ga  0.6284  0.1250  0.2500  4 Ga 2.57-2.60, 2 Fe 2.61, 2 V 2.62
Ga  0.1216  0.6250  0.2500  4 Ga 2.57-2.60, 2 Fe 2.61, 2 V 2.62
Ga  0.3750  0.3716  0.7500  4 Ga 2.57-2.60, 2 Fe 2.61, 2 V 2.62
V  0.2500  0.7500  0.5000  4 Fe 2.58, 4 Ga 2.62
V  0.5000  0.5000  0.0000  4 Fe 2.58, 4 Ga 2.62

First-principles (GGA-PBE) data for an optimized crystal structure of VGaFe, as listed in Alexandria.

Values from the calculation:
Crystal system: triclinic
Formation enthalpy at 0 K: -0.069 eV per atom
DOS(E_F): 1.0 states/eV/f.u.
E_tot: -6.94 eV per atom

Unit cell a=4.3980 b=4.2012 c=5.1227 alpha=89.94 beta=78.01 gamma=61.47
Closest atoms and distances in Å follow each position.
Atoms (fractional coordinates):
Ga  0.0553  0.2427  0.5769  4 Fe 2.45-2.60, 1 Ga 2.53, 3 V 2.57-2.58
Ga  0.2759  0.1334  0.0042  4 Fe 2.45-2.60, 1 Ga 2.53, 3 V 2.57-2.58
Fe  0.7300  0.9056  0.5679  1 V 2.18
Fe  0.6012  0.4705  0.0139  1 V 2.18
V  0.8828  0.8297  0.1303  1 Fe 2.18
V  0.4483  0.5465  0.4515  1 Fe 2.18

First-principles (GGA-PBE) data for an optimized crystal structure of V3Ga2Fe2, as listed in Alexandria.

Values from the calculation:
Crystal system: trigonal
Energy above the most stable polymorph in this dataset: 0 meV/atom
Formation enthalpy at 0 K: -0.213 eV per atom
DOS(E_F): 3.0 states/eV/f.u.
E_tot: -7.40 eV per atom

Unit cell a=4.1420 b=4.1420 c=6.3846 alpha=90.02 beta=108.92 gamma=119.99
Closest atoms and distances in Å follow each position.
Atoms (fractional coordinates):
Ga  0.8477  0.4238  0.2715  4 Fe 2.46-2.51, 3 V 2.63, 1 Ga 2.71
Ga  0.1523  0.5762  0.7285  4 Fe 2.46-2.51, 3 V 2.63, 1 Ga 2.71
V  0.0000  0.0000  0.0000  6 Fe 2.54, 2 V 2.71
V  0.6949  0.8475  0.5423  1 Fe 2.36, 3 V 2.44, 3 Ga 2.63
V  0.3051  0.1525  0.4577  1 Fe 2.36, 3 V 2.44, 3 Ga 2.63
Fe  0.5707  0.2854  0.8561  4 V 2.36-2.54, 4 Ga 2.46-2.51
Fe  0.4293  0.7146  0.1439  4 V 2.36-2.54, 4 Ga 2.46-2.51

First-principles (GGA-PBE) data for an optimized crystal structure of V12GaFe6, as listed in Alexandria.

Values from the calculation:
Crystal system: trigonal
Formation enthalpy at 0 K: 0.099 eV per atom
DOS(E_F): 20.3 states/eV/f.u.
E_tot: -8.49 eV per atom

Unit cell a=6.7202 b=6.7202 c=6.7202 alpha=107.83 beta=107.83 gamma=107.83
Closest atoms and distances in Å follow each position.
Atoms (fractional coordinates):
V  0.3187  0.9969  0.8591  1 Fe 2.20
V  0.0031  0.1409  0.6813  1 Fe 2.20
V  0.9969  0.8591  0.3187  1 Fe 2.20
V  0.5934  0.8836  0.6707  2 Fe 2.24-2.29
V  0.6813  0.0031  0.1409  1 Fe 2.20
V  0.4066  0.1164  0.3293  2 Fe 2.24-2.29
V  0.1409  0.6813  0.0031  1 Fe 2.20
V  0.8836  0.6707  0.5934  2 Fe 2.24-2.29
V  0.6707  0.5934  0.8836  2 Fe 2.24-2.29
V  0.1164  0.3293  0.4066  2 Fe 2.24-2.29
V  0.3293  0.4066  0.1164  2 Fe 2.24-2.29
V  0.8591  0.3187  0.9969  1 Fe 2.20
Fe  0.4104  0.2184  0.6884  3 V 2.20-2.29
Fe  0.3116  0.5896  0.7816  3 V 2.20-2.29
Fe  0.5896  0.7816  0.3116  3 V 2.20-2.29
Fe  0.6884  0.4104  0.2184  3 V 2.20-2.29
Fe  0.2184  0.6884  0.4104  3 V 2.20-2.29
Fe  0.7816  0.3116  0.5896  3 V 2.20-2.29
Ga  0.0000  0.0000  0.0000  12 V 2.60-2.63

First-principles (GGA-PBE) data for an optimized crystal structure of V12Ga3Fe, as listed in Alexandria.

Values from the calculation:
Crystal system: orthorhombic
Formation enthalpy at 0 K: -0.188 eV per atom
DOS(E_F): 21.3 states/eV/f.u.
E_tot: -8.12 eV per atom

Unit cell a=4.7308 b=4.7433 c=9.5108 alpha=90.00 beta=90.00 gamma=90.00
Closest atoms and distances in Å follow each position.
Atoms (fractional coordinates):
V  0.2432  0.5000  0.5000  2 V 2.30-2.43
V  0.5000  0.0000  0.1304  2 V 2.41-2.48, 4 Ga 2.63-2.67
V  0.5000  0.0000  0.6166  2 V 2.22-2.41
V  0.7568  0.5000  0.5000  2 V 2.30-2.43
V  0.0000  0.2426  0.2588  2 V 2.30-2.44, 1 Fe 2.57
V  0.0000  0.7574  0.2588  2 V 2.30-2.44, 1 Fe 2.57
V  0.0000  0.2426  0.7412  2 V 2.30-2.44, 1 Fe 2.57
V  0.7454  0.5000  0.0000  2 V 2.32-2.41
V  0.2546  0.5000  0.0000  2 V 2.32-2.41
V  0.0000  0.7574  0.7412  2 V 2.30-2.44, 1 Fe 2.57
V  0.5000  0.0000  0.3834  2 V 2.22-2.41
V  0.5000  0.0000  0.8696  2 V 2.41-2.48, 4 Ga 2.63-2.67
Ga  0.5000  0.5000  0.7498  12 V 2.63-2.69
Ga  0.0000  0.0000  0.0000  12 V 2.66-2.72
Ga  0.5000  0.5000  0.2502  12 V 2.63-2.69
Fe  0.0000  0.0000  0.5000  12 V 2.57-2.64

First-principles (GGA-PBE) data for an optimized crystal structure of V2Ga3Fe3, as listed in Alexandria.

Values from the calculation:
Crystal system: orthorhombic
Formation enthalpy at 0 K: -0.141 eV per atom
DOS(E_F): 7.9 states/eV/f.u.
E_tot: -6.73 eV per atom

Unit cell a=3.0064 b=4.0641 c=8.5432 alpha=103.76 beta=100.13 gamma=90.00
Closest atoms and distances in Å follow each position.
Atoms (fractional coordinates):
Fe  0.8737  0.8737  0.7475  2 V 2.41, 6 Ga 2.53-2.55
Fe  0.0000  0.5000  0.0000  8 Ga 2.52-2.53
Fe  0.1263  0.1263  0.2525  2 V 2.41, 6 Ga 2.53-2.55
V  0.7419  0.2419  0.4838  2 Fe 2.41, 4 V 2.54, 2 Ga 2.65
V  0.2581  0.7581  0.5162  2 Fe 2.41, 4 V 2.54, 2 Ga 2.65
Ga  0.3757  0.3757  0.7515  6 Fe 2.52-2.53, 4 V 2.65-2.80
Ga  0.6243  0.6243  0.2485  6 Fe 2.52-2.53, 4 V 2.65-2.80
Ga  0.5000  0.0000  0.0000  8 Fe 2.53-2.55

The highest DOS(E_F) belongs to which entry? V12Ga3Fe